No. 1
# Co2Ni3 | Alexandria via LeMat-Bulk | PBEsol | relaxed
data_Co2Ni3
_space_group_name_H-M_alt 'F d d 2'
_space_group_IT_number 43
_space_group_name_Hall 'F 2 -2d'
_cell_length_a 8.2221
_cell_length_b 11.9100
_cell_length_c 4.2874
_cell_angle_alpha 90.00
_cell_angle_beta 90.00
_cell_angle_gamma 90.00
loop_
_atom_site_label
_atom_site_fract_x
_atom_site_fract_y
_atom_site_fract_z
_atom_site_occupancy
Co1 0.0202 0.2977 0.0000 1
Ni1 0.0000 0.0000 0.4618 1
Ni2 0.0319 0.3995 0.4771 1
# Total magnetization = 42.239 Bohr magnetons per cell
# Density = 9.3 g cm⁻³
# Energy above the most stable polymorph in this dataset = 0.084 eV per atom
# V = 52.48 Å³/f.u.

No. 2
# CoNi3 | Alexandria via LeMat-Bulk | PBEsol | relaxed
data_CoNi3
_space_group_name_H-M_alt 'R -3 m'
_space_group_IT_number 166
_space_group_name_Hall '-R 3 2"'
_cell_length_a 2.4448
_cell_length_b 2.4448
_cell_length_c 24.0090
_cell_angle_alpha 90.00
_cell_angle_beta 90.00
_cell_angle_gamma 120.00
loop_
_atom_site_label
_atom_site_fract_x
_atom_site_fract_y
_atom_site_fract_z
_atom_site_occupancy
Co1 0.0000 0.0000 0.0000 1
Ni1 0.0000 0.0000 0.2506 1
Ni2 0.0000 0.0000 0.5000 1
# Total magnetization = 10.583 Bohr magnetons per cell
# Density = 9.4 g cm⁻³
# Total DFT energy (no corrections) = -6.5571 eV per atom
# V = 41.43 Å³/f.u.